3
Lattice="0.0000 3.1628 3.1628 3.1628 0.0000 3.1628 3.1628 3.1628 0.0000" Properties=species:S:1:pos:R:3 comment="GaSbPd | the Open Quantum Materials Database | GGA-PBE | relaxed" crystal_system=cubic e_above_lowest_polymorph_mev_per_atom=0 pbc="T T T"
Ga 0.0000 0.0000 0.0000
Sb 3.1628 3.1628 3.1628
Pd 1.5814 1.5814 1.5814